# Ce2NdPuBi4, optimized geometry, DFT PBE
# * formation enthalpy at 0 K: -16.6 kcal/mol of atoms
# * Fermi-level density of states: 27.73 states/eV/f.u.
# * mass density: 9.144 g/cm3
data_Ce2NdPuBi4
_cell_length_a 7.936
_cell_length_b 4.592
_cell_length_c 7.954
_cell_angle_alpha 90.00
_cell_angle_beta 109.53
_cell_angle_gamma 90.00
_space_group_name_H-M_alt 'P 1 2/m 1'
_space_group_IT_number 10
_space_group_name_Hall '-P 2y'
loop_
_atom_site_label
_atom_site_fract_x
_atom_site_fract_y
_atom_site_fract_z
_atom_site_occupancy
Ce1 0.000 0.000 0.000 1
Ce2 0.000 0.500 0.500 1
Nd1 0.500 0.000 0.500 1
Pu1 0.500 0.500 0.000 1
Bi1 0.248 0.500 0.247 1
Bi2 0.250 0.000 0.752 1

---

# LiAl2Mo, optimized geometry, DFT PBE
# * formation enthalpy at 0 K: -1.1 kcal/mol of atoms
# * Fermi-level density of states: 2.87 states/eV/f.u.
# * E above lowest polymorph: 144 meV per atom
# * mass density: 4.031 g/cm3
data_LiAl2Mo
_cell_length_a 2.8532
_cell_length_b 2.8532
_cell_length_c 27.4911
_cell_angle_alpha 90.00
_cell_angle_beta 90.00
_cell_angle_gamma 120.00
_space_group_name_H-M_alt 'R -3 m'
_space_group_IT_number 166
_space_group_name_Hall '-R 3 2"'
loop_
_atom_site_label
_atom_site_fract_x
_atom_site_fract_y
_atom_site_fract_z
_atom_site_occupancy
Li1 0.0000 0.0000 0.0000 1
Al1 0.0000 0.0000 0.2471 1
Mo1 0.0000 0.0000 0.5000 1

---

# AlSbP2, optimized geometry, DFT PBE
# * Fermi-level density of states: 2.82 states/eV/f.u.
# * formation energy from raw total energies: 517 meV/atom
# * E above lowest polymorph: 587 meV per atom
# * mass density: 4.800 g/cm3
data_AlSbP2
_cell_length_a 6.631
_cell_length_b 6.631
_cell_length_c 6.631
_cell_angle_alpha 90.00
_cell_angle_beta 90.00
_cell_angle_gamma 90.00
_space_group_name_H-M_alt 'F -4 3 m'
_space_group_IT_number 216
_space_group_name_Hall 'F -4 2 3'
loop_
_atom_site_label
_atom_site_fract_x
_atom_site_fract_y
_atom_site_fract_z
_atom_site_occupancy
Al1 0.000 0.000 0.000 1
Sb1 0.250 0.250 0.250 1
P1 0.000 0.000 0.500 1
P2 0.250 0.250 0.750 1

---

# La2DyMg8, optimized geometry, DFT PBE
# * formation enthalpy at 0 K: -1.4 kcal/mol of atoms
# * Fermi-level density of states: 6.67 states/eV/f.u.
# * mass density: 3.591 g/cm3
data_La2DyMg8
_cell_length_a 16.419
_cell_length_b 5.142
_cell_length_c 7.243
_cell_angle_alpha 90.00
_cell_angle_beta 106.23
_cell_angle_gamma 90.00
_space_group_name_H-M_alt 'C 1 2/m 1'
_space_group_IT_number 12
_space_group_name_Hall '-C 2y'
loop_
_atom_site_label
_atom_site_fract_x
_atom_site_fract_y
_atom_site_fract_z
_atom_site_occupancy
La1 0.220 0.000 0.145 1
Dy1 0.000 0.500 0.500 1
Mg1 0.019 0.000 0.218 1
Mg2 0.085 0.500 0.961 1
Mg3 0.141 0.000 0.629 1
Mg4 0.173 0.500 0.389 1

---

# NaCa2Tl7Cd2, optimized geometry, DFT PBE
# * formation enthalpy at 0 K: -2.8 kcal/mol of atoms
# * Fermi-level density of states: 5.62 states/eV/f.u.
# * mass density: 8.239 g/cm3
data_NaCa2Tl7Cd2
_cell_length_a 6.601
_cell_length_b 6.553
_cell_length_c 16.532
_cell_angle_alpha 90.00
_cell_angle_beta 97.58
_cell_angle_gamma 90.00
_space_group_name_H-M_alt 'C 1 2/m 1'
_space_group_IT_number 12
_space_group_name_Hall '-C 2y'
loop_
_atom_site_label
_atom_site_fract_x
_atom_site_fract_y
_atom_site_fract_z
_atom_site_occupancy
Na1 0.000 0.000 0.000 1
Ca1 0.105 0.000 0.336 1
Tl1 0.000 0.500 0.000 1
Tl2 0.201 0.250 0.842 1
Tl3 0.221 0.500 0.467 1
Cd1 0.089 0.500 0.288 1

---

# LiEr3S4, optimized geometry, DFT PBE
# * Fermi-level density of states: 2.49 states/eV/f.u.
# * formation energy from raw total energies: -1946 meV/atom
# * E above lowest polymorph: 0 meV per atom
# * mass density: 6.593 g/cm3
data_LiEr3S4
_cell_length_a 5.434
_cell_length_b 5.434
_cell_length_c 5.434
_cell_angle_alpha 90.00
_cell_angle_beta 90.00
_cell_angle_gamma 90.00
_space_group_name_H-M_alt 'P m -3 m'
_space_group_IT_number 221
_space_group_name_Hall '-P 4 2 3'
loop_
_atom_site_label
_atom_site_fract_x
_atom_site_fract_y
_atom_site_fract_z
_atom_site_occupancy
Li1 0.000 0.000 0.000 1
Er1 0.000 0.500 0.500 1
S1 0.000 0.000 0.500 1
S2 0.500 0.500 0.500 1

---

# AcHo6Tm3, optimized geometry, DFT PBE
# * formation enthalpy at 0 K: 7.2 kcal/mol of atoms
# * Fermi-level density of states: 18.79 states/eV/f.u.
# * mass density: 8.629 g/cm3
data_AcHo6Tm3
_cell_length_a 9.7501
_cell_length_b 9.7501
_cell_length_c 12.0846
_cell_angle_alpha 90.00
_cell_angle_beta 90.00
_cell_angle_gamma 120.00
_space_group_name_H-M_alt 'R 3 2'
_space_group_IT_number 155
_space_group_name_Hall 'R 3 2"'
loop_
_atom_site_label
_atom_site_fract_x
_atom_site_fract_y
_atom_site_fract_z
_atom_site_occupancy
Ac1 0.0000 0.0000 0.0000 1
Ho1 0.0000 0.3501 0.0000 1
Ho2 0.0000 0.6625 0.5000 1
Tm1 0.0000 0.0000 0.2614 1
Tm2 0.0000 0.0000 0.5000 1

---

# PbICl5, optimized geometry, DFT PBE
# * Fermi-level density of states: 0.00 states/eV/f.u.
# * formation energy from raw total energies: -561 meV/atom
# * mass density: 3.292 g/cm3
data_PbICl5
_cell_length_a 8.200
_cell_length_b 8.201
_cell_length_c 9.318
_cell_angle_alpha 113.61
_cell_angle_beta 113.68
_cell_angle_gamma 90.14
_space_group_name_H-M_alt 'P 1'
_space_group_IT_number 1
_space_group_name_Hall 'P 1'
loop_
_atom_site_label
_atom_site_fract_x
_atom_site_fract_y
_atom_site_fract_z
_atom_site_occupancy
Pb1 0.000 0.000 0.000 1
Pb2 0.034 0.966 0.500 1
I1 0.426 0.590 0.228 1
I2 0.624 0.392 0.728 1
Cl1 0.184 0.829 0.228 1
Cl2 0.204 0.389 0.241 1
Cl3 0.225 0.928 0.859 1
Cl4 0.421 0.599 0.745 1
Cl5 0.424 0.170 0.741 1
Cl6 0.633 0.386 0.245 1
Cl7 0.652 0.805 0.228 1
Cl8 0.840 0.618 0.728 1
Cl9 0.863 0.150 0.727 1
Cl10 0.963 0.191 0.359 1

---

# Ba2MgGa3Pd4, optimized geometry, DFT PBE
# * formation enthalpy at 0 K: -15.2 kcal/mol of atoms
# * Fermi-level density of states: 4.30 states/eV/f.u.
# * mass density: 6.992 g/cm3
data_Ba2MgGa3Pd4
_cell_length_a 4.555
_cell_length_b 4.555
_cell_length_c 10.690
_cell_angle_alpha 90.00
_cell_angle_beta 90.00
_cell_angle_gamma 90.00
_space_group_name_H-M_alt 'P -4 m 2'
_space_group_IT_number 115
_space_group_name_Hall 'P -4 -2'
loop_
_atom_site_label
_atom_site_fract_x
_atom_site_fract_y
_atom_site_fract_z
_atom_site_occupancy
Ba1 0.000 0.500 0.242 1
Mg1 0.000 0.000 0.500 1
Ga1 0.000 0.500 0.884 1
Ga2 0.500 0.500 0.500 1
Pd1 0.000 0.000 0.000 1
Pd2 0.000 0.500 0.634 1
Pd3 0.500 0.500 0.000 1

---

# Dy2Ge2Ir5, optimized geometry, DFT PBE
# * formation enthalpy at 0 K: -14.1 kcal/mol of atoms
# * Fermi-level density of states: 4.31 states/eV/f.u.
# * mass density: 15.166 g/cm3
data_Dy2Ge2Ir5
_cell_length_a 4.166
_cell_length_b 4.166
_cell_length_c 9.032
_cell_angle_alpha 90.00
_cell_angle_beta 90.00
_cell_angle_gamma 90.00
_space_group_name_H-M_alt 'P 4/m m m'
_space_group_IT_number 123
_space_group_name_Hall '-P 4 2'
loop_
_atom_site_label
_atom_site_fract_x
_atom_site_fract_y
_atom_site_fract_z
_atom_site_occupancy
Dy1 0.000 0.000 0.000 1
Dy2 0.000 0.000 0.500 1
Ge1 0.500 0.500 0.137 1
Ir1 0.000 0.500 0.276 1
Ir2 0.500 0.500 0.500 1

---

# Ag2TeAs, optimized geometry, DFT PBE
# * Fermi-level density of states: 2.58 states/eV/f.u.
# * formation energy from raw total energies: 302 meV/atom
# * E above lowest polymorph: 216 meV per atom
# * mass density: 6.273 g/cm3
data_Ag2TeAs
_cell_length_a 6.589
_cell_length_b 6.589
_cell_length_c 10.200
_cell_angle_alpha 90.00
_cell_angle_beta 90.00
_cell_angle_gamma 90.00
_space_group_name_H-M_alt 'I -4 2 d'
_space_group_IT_number 122
_space_group_name_Hall 'I -4 2bw'
loop_
_atom_site_label
_atom_site_fract_x
_atom_site_fract_y
_atom_site_fract_z
_atom_site_occupancy
Ag1 0.224 0.250 0.125 1
Te1 0.000 0.000 0.500 1
As1 0.000 0.000 0.000 1

---

# MgTcAu, optimized geometry, DFT PBE
# * formation enthalpy at 0 K: 3.6 kcal/mol of atoms
# * Fermi-level density of states: 2.33 states/eV/f.u.
# * E above lowest polymorph: 60 meV per atom
# * mass density: 10.663 g/cm3
data_MgTcAu
_cell_length_a 2.8560
_cell_length_b 2.8560
_cell_length_c 7.0381
_cell_angle_alpha 90.00
_cell_angle_beta 90.00
_cell_angle_gamma 120.00
_space_group_name_H-M_alt 'P 3 m 1'
_space_group_IT_number 156
_space_group_name_Hall 'P 3 -2"'
loop_
_atom_site_label
_atom_site_fract_x
_atom_site_fract_y
_atom_site_fract_z
_atom_site_occupancy
Mg1 0.0000 0.0000 0.0000 1
Tc1 0.3333 0.6667 0.3268 1
Au1 0.6667 0.3333 0.6650 1